Record 1
VASP calculation (PBE-GGA) on a geometry-optimized PrHoTe structure.

## Properties
The relative energy among the computed polymorphs is 28 meV/atom.

```
data_PrHoTe
_chemical_formula_sum 'Pr8 Ho8 Te8'
_space_group_name_H-M_alt 'C 1 2/m 1'
_space_group_IT_number 12
_cell_length_a 16.921
_cell_length_b 4.040
_cell_length_c 11.270
_cell_angle_alpha 90.00
_cell_angle_beta 92.79
_cell_angle_gamma 90.00
loop_
_space_group_symop_operation_xyz
'x,y,z'
'-x,-y,-z'
'-x,y,-z'
'x,-y,z'
'x+1/2,y+1/2,z'
'-x+1/2,-y+1/2,-z'
'-x+1/2,y+1/2,-z'
'x+1/2,-y+1/2,z'
loop_
_atom_site_label
_atom_site_type_symbol
_atom_site_fract_x
_atom_site_fract_y
_atom_site_fract_z
Pr1 Pr 0.025 0.000 0.352
Pr2 Pr 0.115 0.500 0.842
Ho1 Ho 0.193 0.000 0.083
Ho2 Ho 0.249 0.500 0.338
Te1 Te 0.074 0.500 0.153
Te2 Te 0.121 0.500 0.543
```

Record 2
VASP calculation (PBE-GGA) on a geometry-optimized Pr3Ho2ThTe6 structure.

```
data_Pr3Ho2ThTe6
_chemical_formula_sum 'Pr6 Ho4 Th2 Te12'
_space_group_name_H-M_alt 'C 1 2/m 1'
_space_group_IT_number 12
_cell_length_a 19.349
_cell_length_b 4.402
_cell_length_c 9.026
_cell_angle_alpha 90.00
_cell_angle_beta 101.90
_cell_angle_gamma 90.00
loop_
_space_group_symop_operation_xyz
'x,y,z'
'-x,-y,-z'
'-x,y,-z'
'x,-y,z'
'x+1/2,y+1/2,z'
'-x+1/2,-y+1/2,-z'
'-x+1/2,y+1/2,-z'
'x+1/2,-y+1/2,z'
loop_
_atom_site_label
_atom_site_type_symbol
_atom_site_fract_x
_atom_site_fract_y
_atom_site_fract_z
Pr1 Pr 0.000 0.000 0.000
Pr2 Pr 0.159 0.500 0.336
Ho1 Ho 0.166 0.500 0.834
Th1 Th 0.000 0.000 0.500
Te1 Te 0.007 0.500 0.753
Te2 Te 0.170 0.000 0.599
Te3 Te 0.171 0.000 0.078
```

Record 3
VASP calculation (PBE-GGA) on a geometry-optimized Pr2Ho3ThTe6 structure.

```
data_Pr2Ho3ThTe6
_chemical_formula_sum 'Pr4 Ho6 Th2 Te12'
_space_group_name_H-M_alt 'C 1 2/m 1'
_space_group_IT_number 12
_cell_length_a 19.601
_cell_length_b 4.333
_cell_length_c 9.041
_cell_angle_alpha 90.00
_cell_angle_beta 106.83
_cell_angle_gamma 90.00
loop_
_space_group_symop_operation_xyz
'x,y,z'
'-x,-y,-z'
'-x,y,-z'
'x,-y,z'
'x+1/2,y+1/2,z'
'-x+1/2,-y+1/2,-z'
'-x+1/2,y+1/2,-z'
'x+1/2,-y+1/2,z'
loop_
_atom_site_label
_atom_site_type_symbol
_atom_site_fract_x
_atom_site_fract_y
_atom_site_fract_z
Pr1 Pr 0.161 0.000 0.321
Ho1 Ho 0.000 0.500 0.500
Ho2 Ho 0.168 0.000 0.831
Th1 Th 0.000 0.500 0.000
Te1 Te 0.007 0.000 0.743
Te2 Te 0.165 0.500 0.588
Te3 Te 0.170 0.500 0.069
```

Record 4
VASP calculation (PBE-GGA) on a geometry-optimized PrHo3Tl4Te8 structure.

```
data_PrHo3Tl4Te8
_chemical_formula_sum 'Pr3 Ho9 Tl12 Te24'
_space_group_name_H-M_alt 'R -3 m'
_space_group_IT_number 166
_space_group_name_Hall '-R 3 2"'
_cell_length_a 8.9541
_cell_length_b 8.9541
_cell_length_c 24.5688
_cell_angle_alpha 90.00
_cell_angle_beta 90.00
_cell_angle_gamma 120.00
loop_
_atom_site_label
_atom_site_type_symbol
_atom_site_fract_x
_atom_site_fract_y
_atom_site_fract_z
Pr1 Pr 0.0000 0.0000 0.0000
Ho1 Ho 0.0000 0.5000 0.0000
Tl1 Tl 0.0000 0.0000 0.5000
Tl2 Tl 0.0000 0.5000 0.5000
Te1 Te 0.0000 0.0000 0.2630
Te2 Te 0.0093 0.5046 0.2614
```

Record 5
VASP calculation (PBE-GGA) on a geometry-optimized Pr2Ho3TmTe6 structure.

```
data_Pr2Ho3TmTe6
_chemical_formula_sum 'Pr4 Ho6 Tm2 Te12'
_space_group_name_H-M_alt 'C 1 2/m 1'
_space_group_IT_number 12
_cell_length_a 19.255
_cell_length_b 4.350
_cell_length_c 8.863
_cell_angle_alpha 90.00
_cell_angle_beta 103.30
_cell_angle_gamma 90.00
loop_
_space_group_symop_operation_xyz
'x,y,z'
'-x,-y,-z'
'-x,y,-z'
'x,-y,z'
'x+1/2,y+1/2,z'
'-x+1/2,-y+1/2,-z'
'-x+1/2,y+1/2,-z'
'x+1/2,-y+1/2,z'
loop_
_atom_site_label
_atom_site_type_symbol
_atom_site_fract_x
_atom_site_fract_y
_atom_site_fract_z
Pr1 Pr 0.172 0.000 0.338
Ho1 Ho 0.000 0.500 0.500
Ho2 Ho 0.176 0.000 0.837
Tm1 Tm 0.000 0.500 0.000
Te1 Te 0.005 0.000 0.755
Te2 Te 0.160 0.500 0.592
Te3 Te 0.161 0.500 0.070
```

Record 6
VASP calculation (PBE-GGA) on a geometry-optimized Pr3HoTm2Te6 structure.

```
data_Pr3HoTm2Te6
_chemical_formula_sum 'Pr6 Ho2 Tm4 Te12'
_space_group_name_H-M_alt 'C 1 2/m 1'
_space_group_IT_number 12
_cell_length_a 19.518
_cell_length_b 4.336
_cell_length_c 9.035
_cell_angle_alpha 90.00
_cell_angle_beta 106.19
_cell_angle_gamma 90.00
loop_
_space_group_symop_operation_xyz
'x,y,z'
'-x,-y,-z'
'-x,y,-z'
'x,-y,z'
'x+1/2,y+1/2,z'
'-x+1/2,-y+1/2,-z'
'-x+1/2,y+1/2,-z'
'x+1/2,-y+1/2,z'
loop_
_atom_site_label
_atom_site_type_symbol
_atom_site_fract_x
_atom_site_fract_y
_atom_site_fract_z
Pr1 Pr 0.000 0.000 0.000
Pr2 Pr 0.165 0.500 0.332
Ho1 Ho 0.000 0.000 0.500
Tm1 Tm 0.166 0.500 0.832
Te1 Te 0.005 0.500 0.741
Te2 Te 0.164 0.000 0.594
Te3 Te 0.171 0.000 0.072
```

Record 7
VASP calculation (PBE-GGA) on a geometry-optimized Pr2HoTmTe5 structure.

```
data_Pr2HoTmTe5
_chemical_formula_sum 'Pr2 Ho1 Tm1 Te5'
_space_group_name_H-M_alt 'P 4/m m m'
_space_group_IT_number 123
_space_group_name_Hall '-P 4 2'
_cell_length_a 5.489
_cell_length_b 5.489
_cell_length_c 11.503
_cell_angle_alpha 90.00
_cell_angle_beta 90.00
_cell_angle_gamma 90.00
loop_
_atom_site_label
_atom_site_type_symbol
_atom_site_fract_x
_atom_site_fract_y
_atom_site_fract_z
Pr1 Pr 0.000 0.000 0.170
Ho1 Ho 0.500 0.500 0.500
Tm1 Tm 0.500 0.500 0.000
Te1 Te 0.000 0.000 0.500
Te2 Te 0.000 0.500 0.000
Te3 Te 0.500 0.500 0.254
```

Record 8
VASP calculation (PBE-GGA) on a geometry-optimized Pr2HoTmTe6 structure.

```
data_Pr2HoTmTe6
_chemical_formula_sum 'Pr6 Ho3 Tm3 Te18'
_space_group_name_H-M_alt 'R 3'
_space_group_IT_number 146
_space_group_name_Hall 'R 3'
_cell_length_a 7.8508
_cell_length_b 7.8508
_cell_length_c 21.1068
_cell_angle_alpha 90.00
_cell_angle_beta 90.00
_cell_angle_gamma 120.00
loop_
_atom_site_label
_atom_site_type_symbol
_atom_site_fract_x
_atom_site_fract_y
_atom_site_fract_z
Pr1 Pr 0.0000 0.0000 0.0000
Pr2 Pr 0.0000 0.0000 0.5002
Ho1 Ho 0.0000 0.0000 0.1916
Tm1 Tm 0.0000 0.0000 0.6916
Te1 Te 0.0370 0.6923 0.7681
Te2 Te 0.0386 0.3469 0.2688
```

Record 9
VASP calculation (PBE-GGA) on a geometry-optimized PrHo2TmTe6 structure.

```
data_PrHo2TmTe6
_chemical_formula_sum 'Pr3 Ho6 Tm3 Te18'
_space_group_name_H-M_alt 'R 3'
_space_group_IT_number 146
_space_group_name_Hall 'R 3'
_cell_length_a 7.7436
_cell_length_b 7.7436
_cell_length_c 21.0957
_cell_angle_alpha 90.00
_cell_angle_beta 90.00
_cell_angle_gamma 120.00
loop_
_atom_site_label
_atom_site_type_symbol
_atom_site_fract_x
_atom_site_fract_y
_atom_site_fract_z
Pr1 Pr 0.0000 0.0000 0.0000
Ho1 Ho 0.0000 0.0000 0.3089
Ho2 Ho 0.0000 0.0000 0.8118
Tm1 Tm 0.0000 0.0000 0.4960
Te1 Te 0.0018 0.3193 0.9008
Te2 Te 0.0178 0.7034 0.4031
```

Record 10
VASP calculation (PBE-GGA) on a geometry-optimized PrHoTm2Te6 structure.

```
data_PrHoTm2Te6
_chemical_formula_sum 'Pr3 Ho3 Tm6 Te18'
_space_group_name_H-M_alt 'R 3'
_space_group_IT_number 146
_space_group_name_Hall 'R 3'
_cell_length_a 7.7330
_cell_length_b 7.7330
_cell_length_c 21.0137
_cell_angle_alpha 90.00
_cell_angle_beta 90.00
_cell_angle_gamma 120.00
loop_
_atom_site_label
_atom_site_type_symbol
_atom_site_fract_x
_atom_site_fract_y
_atom_site_fract_z
Pr1 Pr 0.0000 0.0000 0.0000
Ho1 Ho 0.0000 0.0000 0.5040
Tm1 Tm 0.0000 0.0000 0.1886
Tm2 Tm 0.0000 0.0000 0.6912
Te1 Te 0.0204 0.3454 0.7670
Te2 Te 0.0388 0.6900 0.2654
```

Looking at formation energy (no corrections) for the records above, in order, we have -0.766, -1.303, -1.269, -1.051, -1.301, -1.329, -0.836, -1.361, -1.351, -1.345 eV/atom.